Arrangement w

Compound: La2Pm7Sm3
Source: Alexandria via LeMat-Bulk
Functional: PBE-GGA
Structure: optimized geometry

Structure (POSCAR):
```
La2Pm7Sm3
1.0
2.9503 -12.5854 0.0000
2.9503 12.5854 0.0000
0.0000 0.0000 5.8725
La Pm Sm
2 7 3
Cartesian
2.9503 9.7275 0.0000 La
2.9503 -9.7275 0.0000 La
0.0000 0.0000 0.0000 Pm
2.9503 9.9696 2.9363 Pm
2.9503 6.8362 0.0000 Pm
2.9503 2.8083 0.0000 Pm
2.9503 -2.8083 0.0000 Pm
2.9503 -6.8362 0.0000 Pm
2.9503 -9.9696 2.9363 Pm
2.9503 4.9625 2.9363 Sm
2.9503 0.0000 2.9363 Sm
2.9503 -4.9625 2.9363 Sm
```

total magnetization: 0.0 μB per cell
calculated volume: 36.34 Å³ per atom

Arrangement x

Compound: La2Pm7Sm3
Source: Alexandria via LeMat-Bulk
Functional: PBE-GGA
Structure: optimized geometry

Structure (POSCAR):
```
La2Pm7Sm3
1.0
6.5112 0.0000 0.0000
0.0000 3.6030 0.0000
-1.9447 0.0000 17.8532
La Pm Sm
2 7 3
Cartesian
0.0528 0.0000 3.0337 La
4.5138 0.0000 14.8195 La
-0.9723 1.8015 8.9266 Pm
0.1834 0.0000 11.8970 Pm
-0.2662 0.0000 17.8237 Pm
1.1417 1.8015 5.9986 Pm
3.4249 1.8015 11.8546 Pm
4.8328 0.0000 0.0295 Pm
4.3832 0.0000 5.9562 Pm
1.3131 1.8015 15.0016 Sm
2.2833 0.0000 8.9266 Sm
3.2535 1.8015 2.8516 Sm
```

total magnetization: 0.0 μB per cell
calculated volume: 34.90 Å³ per atom

Result of the stability comparison: arrangement x is the most stable of them.

Arrangement w

Compound: LaPm7Sm12
Source: Alexandria via LeMat-Bulk
Functional: PBE-GGA
Structure: optimized geometry

Structure (POSCAR):
```
LaPm7Sm12
1.0
6.1522 3.5520 5.3355
-6.1522 3.5520 5.3355
0.0000 -7.1040 5.3355
La Pm Sm
1 7 12
Cartesian
0.0000 0.0000 0.0000 La
-2.2201 -4.9171 6.6787 Pm
-5.3684 -0.5359 9.3279 Pm
-3.1483 4.3812 6.6787 Pm
0.0000 0.0000 8.0033 Pm
3.1483 -4.3812 9.3279 Pm
5.3684 0.5359 6.6787 Pm
2.2201 4.9171 9.3279 Pm
-1.4804 -1.4419 4.7214 Sm
-3.2869 0.9697 7.1608 Sm
-2.4833 -2.3617 8.8458 Sm
-0.5085 2.0030 4.7214 Sm
0.8036 -3.3314 7.1608 Sm
1.9889 -0.5611 4.7214 Sm
-1.9889 0.5611 11.2852 Sm
-0.8036 3.3314 8.8458 Sm
0.5085 -2.0030 11.2852 Sm
2.4833 2.3617 7.1608 Sm
3.2869 -0.9697 8.8458 Sm
1.4804 1.4419 11.2852 Sm
```

total magnetization: 0.0 μB per cell
calculated volume: 34.98 Å³ per atom

Arrangement x

Compound: LaPm7Sm12
Source: Alexandria via LeMat-Bulk
Functional: PBE-GGA
Structure: optimized geometry

Structure (POSCAR):
```
LaPm7Sm12
1.0
-5.7744 5.7744 5.7744
5.7744 -5.7744 5.7744
5.7744 5.7744 -5.7744
La Pm Sm
1 7 12
Cartesian
0.0000 0.0000 0.0000 La
2.8872 2.8872 -2.8872 Pm
2.8872 -2.8872 2.8872 Pm
5.7744 0.0000 0.0000 Pm
-2.8872 2.8872 2.8872 Pm
0.0000 5.7744 0.0000 Pm
0.0000 0.0000 5.7744 Pm
2.8872 2.8872 2.8872 Pm
5.7744 2.8574 -2.8574 Sm
5.7744 -2.8574 2.8574 Sm
2.8574 5.7744 -2.8574 Sm
2.9170 2.9170 0.0000 Sm
2.9170 0.0000 2.9170 Sm
2.8574 -2.8574 5.7744 Sm
5.7744 2.8574 2.8574 Sm
0.0000 2.9170 2.9170 Sm
-2.8574 5.7744 2.8574 Sm
-2.8574 2.8574 5.7744 Sm
2.8574 5.7744 2.8574 Sm
2.8574 2.8574 5.7744 Sm
```

total magnetization: 0.0 μB per cell
calculated volume: 38.51 Å³ per atom

Result of the stability comparison: arrangement w is the most stable of them.